Record 1
A relaxed structure of BaTbPt4. Source: Alexandria via LeMat-Bulk, functional PBE-GGA.

Output
The space-group type is F-43m (216). As for the energy of formation from the pure elements: -487 kJ/mol of formula units. The total magnetization is 0.00 μB per formula unit. Its uncorrected energy is -5.96 eV/atom.

Unit cell a=5.5747 b=5.5747 c=5.5747 alpha=60.00 beta=60.00 gamma=60.00
Closest atoms and distances in Å follow each position.
Sites, in units of the cell vectors:
Pt  0.6255  0.1234  0.6255  6 Pt 2.78-2.80
Pt  0.6255  0.6255  0.6255  6 Pt 2.78-2.80
Tb  0.0000  0.0000  0.0000  12 Pt 3.27, 4 Ba 3.41
Pt  0.1234  0.6255  0.6255  6 Pt 2.78-2.80
Ba  0.2500  0.2500  0.2500  12 Pt 3.27, 4 Tb 3.41
Pt  0.6255  0.6255  0.1234  6 Pt 2.78-2.80



Record 2
A relaxed structure of BaTbZn2Pt2. Source: Alexandria via LeMat-Bulk, functional PBE-GGA.

Output
The space-group type is P-3m1 (164). As for the energy of formation from the pure elements: -462 kJ/mol of formula units. The total magnetization is 0.00 μB per formula unit. Its uncorrected energy is -4.33 eV/atom.

Unit cell a=4.5126 b=4.5126 c=7.9925 alpha=90.00 beta=90.00 gamma=120.00
Closest atoms and distances in Å follow each position.
Sites, in units of the cell vectors:
Tb  0.0000  0.0000  0.5000  6 Pt 3.03, 6 Zn 3.06
Zn  0.6667  0.3333  0.2994  3 Pt 2.61
Ba  0.0000  0.0000  0.0000  6 Zn 3.54, 6 Pt 3.58
Zn  0.3333  0.6667  0.7006  3 Pt 2.61
Pt  0.3333  0.6667  0.3073  3 Zn 2.61
Pt  0.6667  0.3333  0.6927  3 Zn 2.61



Record 3
A relaxed structure of Ba3TcPt. Source: Alexandria via LeMat-Bulk, functional PBE-GGA.

Output
The space-group type is Pm-3m (221). The calculation puts the polymorph energy (0 for the lowest one) at 0 meV/atom. As for the energy of formation from the pure elements: 227 kJ/mol of formula units. The total magnetization is 0.00 μB per formula unit. Its uncorrected energy is -3.96 eV/atom.

Unit cell a=5.6745 b=5.6745 c=5.6745 alpha=90.00 beta=90.00 gamma=90.00
Closest atoms and distances in Å follow each position.
Sites, in units of the cell vectors:
Ba  0.0000  0.5000  0.0000  2 Tc 2.84
Ba  0.5000  0.0000  0.0000  2 Tc 2.84
Ba  0.0000  0.0000  0.5000  2 Tc 2.84
Tc  0.0000  0.0000  0.0000  6 Ba 2.84
Pt  0.5000  0.5000  0.5000  12 Ba 4.01



Record 4
A relaxed structure of BaTcPt4. Source: Alexandria via LeMat-Bulk, functional PBE-GGA.

Output
The space-group type is F-43m (216). As for the energy of formation from the pure elements: 25 kJ/mol of formula units. The total magnetization is 4.18 μB per formula unit. Its uncorrected energy is -6.03 eV/atom.

Unit cell a=5.5072 b=5.5072 c=5.5072 alpha=60.00 beta=60.00 gamma=60.00
Closest atoms and distances in Å follow each position.
Sites, in units of the cell vectors:
Tc  0.7500  0.7500  0.7500  12 Pt 3.23, 4 Ba 3.37
Pt  0.8730  0.3757  0.3757  6 Pt 2.74-2.77
Pt  0.3757  0.3757  0.8730  6 Pt 2.74-2.77
Ba  0.0000  0.0000  0.0000  12 Pt 3.23, 4 Tc 3.37
Pt  0.3757  0.8730  0.3757  6 Pt 2.74-2.77
Pt  0.3757  0.3757  0.3757  6 Pt 2.74-2.77



Record 5
A relaxed structure of BaTcPt3. Source: Alexandria via LeMat-Bulk, functional PBE-GGA.

Output
The space-group type is Pm-3m (221). The calculation puts the polymorph energy (0 for the lowest one) at 0 meV/atom. As for the energy of formation from the pure elements: 70 kJ/mol of formula units. The total magnetization is 0.00 μB per formula unit. Its uncorrected energy is -5.94 eV/atom.

Unit cell a=4.9473 b=4.9473 c=4.9473 alpha=90.00 beta=90.00 gamma=90.00
Closest atoms and distances in Å follow each position.
Sites, in units of the cell vectors:
Pt  0.0000  0.5000  0.0000  2 Tc 2.47
Ba  0.5000  0.5000  0.5000  12 Pt 3.50
Pt  0.0000  0.0000  0.5000  2 Tc 2.47
Pt  0.5000  0.0000  0.0000  2 Tc 2.47
Tc  0.0000  0.0000  0.0000  6 Pt 2.47



Record 6
A relaxed structure of BaTcPt3. Source: Alexandria via LeMat-Bulk, functional PBE-GGA.

Output
The space-group type is Pm-3m (221). The calculation puts the polymorph energy (0 for the lowest one) at 2336 meV/atom. As for the energy of formation from the pure elements: 1197 kJ/mol of formula units. The total magnetization is 0.30 μB per formula unit. Its uncorrected energy is -3.60 eV/atom.

Unit cell a=5.2467 b=5.2467 c=5.2467 alpha=90.00 beta=90.00 gamma=90.00
Closest atoms and distances in Å follow each position.
Sites, in units of the cell vectors:
Pt  0.0000  0.5000  0.0000  2 Ba 2.62
Pt  0.5000  0.0000  0.0000  2 Ba 2.62
Pt  0.0000  0.0000  0.5000  2 Ba 2.62
Ba  0.0000  0.0000  0.0000  6 Pt 2.62
Tc  0.5000  0.5000  0.5000  12 Pt 3.71



Record 7
A relaxed structure of Ba4TcPt. Source: Alexandria via LeMat-Bulk, functional PBE-GGA.

Output
The space-group type is F-43m (216). As for the energy of formation from the pure elements: 669 kJ/mol of formula units. The total magnetization is 2.16 μB per formula unit. Its uncorrected energy is -2.86 eV/atom.

Unit cell a=6.8174 b=6.8174 c=6.8174 alpha=60.00 beta=60.00 gamma=60.00
Closest atoms and distances in Å follow each position.
Sites, in units of the cell vectors:
Ba  0.3755  0.3755  0.8736  6 Ba 3.40-3.42
Ba  0.3755  0.8736  0.3755  6 Ba 3.40-3.42
Tc  0.0000  0.0000  0.0000  12 Ba 4.00, 4 Pt 4.17
Ba  0.3755  0.3755  0.3755  6 Ba 3.40-3.42
Pt  0.7500  0.7500  0.7500  12 Ba 4.00, 4 Tc 4.17
Ba  0.8736  0.3755  0.3755  6 Ba 3.40-3.42



Record 8
A relaxed structure of BaTc2TePt. Source: Alexandria via LeMat-Bulk, functional PBE-GGA.

Output
The space-group type is P4/mmm (123). For the energy relative to the elements, uncorrected, the calculation gives 2372 meV/atom. The total magnetization is 6.19 μB per formula unit. Its uncorrected energy is -4.00 eV/atom.

Unit cell a=5.2923 b=5.3076 c=5.2923 alpha=90.00 beta=90.00 gamma=90.00
Closest atoms and distances in Å follow each position.
Sites, in units of the cell vectors:
Te  0.5000  0.5000  0.5000  4 Pt 3.74, 8 Tc 3.75
Pt  0.0000  0.5000  0.0000  2 Ba 2.65
Ba  0.0000  0.0000  0.0000  4 Tc 2.65, 2 Pt 2.65
Tc  0.0000  0.0000  0.5000  2 Ba 2.65
Tc  0.5000  0.0000  0.0000  2 Ba 2.65



Record 9
A relaxed structure of BaVTcPt2. Source: Alexandria via LeMat-Bulk, functional PBE-GGA.

Output
The space-group type is P4/mmm (123). As for the energy of formation from the pure elements: 1161 kJ/mol of formula units. The total magnetization is 7.88 μB per formula unit. Its uncorrected energy is -4.29 eV/atom.

Unit cell a=5.3027 b=5.0781 c=5.3027 alpha=90.00 beta=90.00 gamma=90.00
Closest atoms and distances in Å follow each position.
Sites, in units of the cell vectors:
Pt  0.0000  0.0000  0.5000  2 Ba 2.65
Pt  0.5000  0.0000  0.0000  2 Ba 2.65
V  0.0000  0.5000  0.0000  2 Ba 2.54
Tc  0.5000  0.5000  0.5000  8 Pt 3.67, 4 V 3.75
Ba  0.0000  0.0000  0.0000  2 V 2.54, 4 Pt 2.65



Record 10
A relaxed structure of BaTe2Pt. Source: Alexandria via LeMat-Bulk, functional PBE-GGA.

Output
The space-group type is F-43m (216). The calculation puts the polymorph energy (0 for the lowest one) at 711 meV/atom. For the energy relative to the elements, uncorrected, the calculation gives -213 meV/atom. The total magnetization is 0.00 μB per formula unit. Its uncorrected energy is -3.77 eV/atom.

Unit cell a=5.4663 b=5.4663 c=5.4663 alpha=60.00 beta=60.00 gamma=60.00
Closest atoms and distances in Å follow each position.
Sites, in units of the cell vectors:
Ba  0.5000  0.5000  0.5000  4 Te 3.35, 4 Pt 3.35
Te  0.0000  0.0000  0.0000  4 Te 3.35, 4 Pt 3.35
Te  0.2500  0.2500  0.2500  4 Ba 3.35, 4 Te 3.35
Pt  0.7500  0.7500  0.7500  4 Ba 3.35, 4 Te 3.35



Record 11
A relaxed structure of Ba8TePt2. Source: Alexandria via LeMat-Bulk, functional PBE-GGA.

Output
The space-group type is P-3 (147). For the energy relative to the elements, uncorrected, the calculation gives -429 meV/atom. The total magnetization is 0.01 μB per formula unit. Its uncorrected energy is -3.21 eV/atom.

Unit cell a=6.5323 b=10.6108 c=10.6087 alpha=120.02 beta=90.00 gamma=90.01
Closest atoms and distances in Å follow each position.
Sites, in units of the cell vectors:
Ba  0.2482  0.1702  0.8330  1 Pt 3.03
Ba  0.2556  0.6667  0.3332  2 Pt 3.22-3.31
Ba  0.7518  0.3372  0.1702  1 Pt 3.03
Ba  0.2482  0.6628  0.8298  1 Pt 3.03
Pt  0.2369  0.3333  0.6667  5 Ba 3.03-3.31
Ba  0.7518  0.8329  0.6628  1 Pt 3.03
Ba  0.2482  0.1671  0.3372  1 Pt 3.03
Ba  0.7444  0.3333  0.6667  2 Pt 3.22-3.31
Pt  0.7631  0.6667  0.3333  5 Ba 3.03-3.31
Ba  0.7518  0.8299  0.1670  1 Pt 3.03
Te  0.0000  0.0000  0.0000  6 Ba 3.50



Record 12
A relaxed structure of BaTe2Pt. Source: Alexandria via LeMat-Bulk, functional PBE-GGA.

Output
The space-group type is Fmmm (69). The calculation puts the polymorph energy (0 for the lowest one) at 541 meV/atom. For the energy relative to the elements, uncorrected, the calculation gives -383 meV/atom. The total magnetization is 0.00 μB per formula unit. Its uncorrected energy is -3.94 eV/atom.

Unit cell a=4.9110 b=6.1752 c=4.9120 alpha=71.01 beta=79.51 gamma=108.98
Closest atoms and distances in Å follow each position.
Sites, in units of the cell vectors:
Pt  0.5000  0.5000  0.0000  2 Ba 3.14, 4 Te 3.26
Te  0.0000  0.0000  0.0000  2 Te 3.14, 2 Ba 3.26, 2 Pt 3.26
Ba  0.0000  0.5000  0.5000  2 Pt 3.14, 4 Te 3.26
Te  0.5000  0.0000  0.5000  2 Te 3.14, 2 Pt 3.26, 2 Ba 3.26



no.,DOS at the Fermi energy (states/eV/cell)
1,4.73
2,5.54
3,2.90
4,5.16
5,3.86
6,13.20
7,8.86
8,5.71
9,4.58
10,4.23
11,13.61
12,2.32